Entry from Alexandria via LeMat-Bulk: a relaxed structure of RbSn2Pb8 (PBE).

abc: 6.579 6.579 10.846
angles: 90.00 90.00 90.00
Space group P4/mmm (No. 123)
Inequivalent atoms, fractional coordinates:
1 Rb 0.000 0.000 0.000 x1
2 Sn 0.000 0.500 0.500 x2
3 Pb 0.252 0.252 0.293 x8

Properties
Electronic total energy (eV/cell): -37.2
Crystal system: tetragonal
Calculated formation energy (eV per atom): 0.13